Density functional theory data (GGA-PBE) for a relaxed structure of Ti2Nb7Mo2.

Calculated values
E_form (eV/f.u.): 2.6
Crystal system: monoclinic
E above lowest polymorph (eV/atom): 0.077
Total moment (μB/atom): 0.00

Cell: 6.3609 6.3609 5.2617 Å, 102.97 102.97 93.21°
Positions (direct):
Ti1 0.2323 0.7677 0.0000
Ti2 0.7677 0.2323 0.0000
Nb1 0.0704 0.5942 0.3334
Nb2 0.2729 0.2729 0.9890
Nb3 0.4058 0.9296 0.6666
Nb4 0.5000 0.5000 0.5000
Nb5 0.5942 0.0704 0.3334
Nb6 0.7271 0.7271 0.0110
Nb7 0.9296 0.4058 0.6666
Mo1 0.0882 0.0882 0.3375
Mo2 0.9118 0.9118 0.6625